[1]
CaPm2DyS4 | GGA-PBE | optimized geometry

a = 3.972 Å, b = 6.904 Å, c = 6.958 Å
α = 109.08°, β = 90.00°, γ = 90.00°
Positions (direct):
Ca 0.000 0.000 0.000
Pm 0.500 0.000 0.500
Pm 0.000 0.500 0.500
Dy 0.500 0.500 0.000
S 0.500 0.250 0.241
S 0.500 0.750 0.759
S 0.000 0.255 0.761
S 0.000 0.745 0.239

**Space group**: P2/m (10)
**ρ**: 5718 kg/m3
**V**: 180.3 Å³/f.u.
**Formation energy without anion corrections**: -1573 kJ/mol of formula units



[2]
CaPmDySc | GGA-PBE | optimized geometry

a = 5.648 Å, b = 5.648 Å, c = 5.648 Å
α = 60.00°, β = 60.00°, γ = 60.00°
Positions (direct):
Sc 0.500 0.500 0.500
Ca 0.000 0.000 0.000
Pm 0.250 0.250 0.250
Dy 0.750 0.750 0.750

**Calculated formation energy**: 0.155 eV per atom
**Space group**: F-43m (216)
**ρ**: 5115 kg/m3
**V**: 127.4 Å³/f.u.



[3]
CaPm2Dy3Se6 | GGA-PBE | optimized geometry

a = 4.111 Å, b = 8.322 Å, c = 9.254 Å
α = 103.18°, β = 102.83°, γ = 90.00°
Positions (direct):
Ca 0.500 0.000 0.000
Pm 0.829 0.658 0.657
Pm 0.171 0.342 0.343
Dy 0.500 0.500 0.000
Dy 0.831 0.171 0.662
Dy 0.169 0.829 0.338
Se 0.334 0.925 0.668
Se 0.662 0.589 0.323
Se 0.666 0.075 0.332
Se 0.998 0.251 0.997
Se 0.002 0.749 0.003
Se 0.338 0.411 0.677

**Space group**: C2/m (12)
**ρ**: 7145 kg/m3
**V**: 300.1 Å³/f.u.
**Formation energy without anion corrections**: -2114 kJ/mol of formula units



[4]
CaPm4DySe8 | GGA-PBE | optimized geometry

a = 8.629 Å, b = 8.629 Å, c = 8.591 Å
α = 59.85°, β = 59.85°, γ = 60.00°
Positions (direct):
Ca 0.376 0.376 0.873
Pm 0.624 0.624 0.127
Pm 0.002 0.494 0.502
Pm 0.494 0.002 0.502
Pm 0.002 0.002 0.502
Dy 0.002 0.002 0.993
Se 0.237 0.777 0.748
Se 0.777 0.237 0.748
Se 0.237 0.237 0.748
Se 0.242 0.242 0.274
Se 0.763 0.223 0.251
Se 0.223 0.763 0.251
Se 0.763 0.763 0.251
Se 0.758 0.758 0.727

**Space group**: R3m (160)
**ρ**: 5204 kg/m3
**V**: 451.3 Å³/f.u.
**Formation energy without anion corrections**: -2436 kJ/mol of formula units



[5]
Ca4PmDy3Se8 | GGA-PBE | optimized geometry

a = 8.242 Å, b = 8.353 Å, c = 8.243 Å
α = 119.56°, β = 120.00°, γ = 90.00°
Positions (direct):
Ca 0.500 0.000 0.000
Ca 0.500 0.000 0.500
Ca 0.000 0.000 0.000
Ca 0.000 0.000 0.500
Pm 0.000 0.500 0.000
Dy 0.500 0.500 0.000
Dy 0.500 0.500 0.500
Dy 0.000 0.500 0.500
Se 0.252 0.749 0.996
Se 0.252 0.748 0.504
Se 0.252 0.255 0.504
Se 0.744 0.749 0.996
Se 0.256 0.251 0.004
Se 0.748 0.745 0.496
Se 0.748 0.252 0.496
Se 0.748 0.251 0.004

**Space group**: R-3m (166)
**ρ**: 5855 kg/m3
**V**: 404.0 Å³/f.u.
**Formation energy without anion corrections**: -2903 kJ/mol of formula units



[6]
CaPm3Dy2Se6 | GGA-PBE | optimized geometry

a = 4.123 Å, b = 8.374 Å, c = 9.300 Å
α = 103.48°, β = 102.81°, γ = 90.00°
Positions (direct):
Ca 0.500 0.000 0.000
Pm 0.500 0.500 0.000
Pm 0.834 0.172 0.668
Pm 0.166 0.828 0.332
Dy 0.831 0.662 0.663
Dy 0.169 0.338 0.337
Se 0.335 0.911 0.670
Se 0.668 0.576 0.336
Se 0.665 0.089 0.330
Se 0.004 0.246 0.007
Se 0.996 0.754 0.993
Se 0.332 0.424 0.664

**Space group**: C2/m (12)
**ρ**: 6958 kg/m3
**V**: 304.0 Å³/f.u.
**Formation energy without anion corrections**: -2122 kJ/mol of formula units



[7]
Ca3Pm3DySe8 | GGA-PBE | optimized geometry

a = 8.341 Å, b = 8.343 Å, c = 8.411 Å
α = 119.74°, β = 90.00°, γ = 119.99°
Positions (direct):
Ca 0.000 0.000 0.000
Ca 0.000 0.500 0.000
Ca 0.500 0.500 0.000
Pm 0.500 0.000 0.500
Pm 0.500 0.500 0.500
Pm 0.000 0.500 0.500
Dy 0.000 0.000 0.500
Se 0.249 0.497 0.246
Se 0.751 0.503 0.754
Se 0.755 0.510 0.255
Se 0.245 0.490 0.745
Se 0.756 0.000 0.256
Se 0.244 0.000 0.744
Se 0.245 0.000 0.256
Se 0.755 0.000 0.744

**Space group**: R-3m (166)
**ρ**: 5392 kg/m3
**V**: 415.6 Å³/f.u.
**Formation energy without anion corrections**: -2793 kJ/mol of formula units



[8]
Ca2Pm3DySe6 | GGA-PBE | optimized geometry

a = 7.181 Å, b = 7.181 Å, c = 7.313 Å
α = 99.43°, β = 99.43°, γ = 120.06°
Positions (direct):
Ca 0.333 0.667 0.000
Ca 0.667 0.333 0.000
Pm 0.171 0.829 0.500
Pm 0.829 0.171 0.500
Pm 0.500 0.500 0.500
Dy 0.000 0.000 0.000
Se 0.920 0.590 0.760
Se 0.752 0.752 0.246
Se 0.080 0.410 0.240
Se 0.590 0.920 0.760
Se 0.248 0.248 0.754
Se 0.410 0.080 0.240

**Space group**: C2/m (12)
**ρ**: 6201 kg/m3
**V**: 308.3 Å³/f.u.
**Formation energy without anion corrections**: -2162 kJ/mol of formula units



[9]
CaPm2DySe4 | GGA-PBE | optimized geometry

a = 4.133 Å, b = 7.187 Å, c = 7.259 Å
α = 109.01°, β = 90.00°, γ = 90.00°
Positions (direct):
Ca 0.000 0.000 0.000
Pm 0.500 0.000 0.500
Pm 0.000 0.500 0.500
Dy 0.500 0.500 0.000
Se 0.500 0.249 0.242
Se 0.500 0.751 0.758
Se 0.000 0.254 0.760
Se 0.000 0.746 0.240

**Space group**: P2/m (10)
**ρ**: 6585 kg/m3
**V**: 203.9 Å³/f.u.
**Formation energy without anion corrections**: -1427 kJ/mol of formula units



[10]
CaPm3Dy4Se8 | GGA-PBE | optimized geometry

a = 8.268 Å, b = 8.274 Å, c = 8.267 Å
α = 119.97°, β = 120.00°, γ = 90.00°
Positions (direct):
Ca 0.000 0.500 0.000
Pm 0.500 0.500 0.000
Pm 0.500 0.500 0.500
Pm 0.000 0.500 0.500
Dy 0.500 0.000 0.000
Dy 0.500 0.000 0.500
Dy 0.000 0.000 0.000
Dy 0.000 0.000 0.500
Se 0.251 0.758 0.007
Se 0.251 0.758 0.502
Se 0.246 0.239 0.492
Se 0.757 0.758 0.007
Se 0.243 0.242 0.993
Se 0.754 0.761 0.508
Se 0.749 0.242 0.498
Se 0.749 0.242 0.993

**Space group**: R-3m (166)
**ρ**: 7292 kg/m3
**V**: 400.1 Å³/f.u.
**Formation energy without anion corrections**: -2789 kJ/mol of formula units



[11]
Ca2PmDySe4 | GGA-PBE | optimized geometry

a = 4.137 Å, b = 7.168 Å, c = 7.297 Å
α = 109.10°, β = 90.00°, γ = 90.00°
Positions (direct):
Ca 0.500 0.000 0.500
Ca 0.000 0.500 0.500
Pm 0.500 0.500 0.000
Dy 0.000 0.000 0.000
Se 0.500 0.244 0.248
Se 0.500 0.756 0.752
Se 0.000 0.244 0.748
Se 0.000 0.756 0.252

**Space group**: P2/m (10)
**ρ**: 5713 kg/m3
**V**: 204.5 Å³/f.u.
**Formation energy without anion corrections**: -1456 kJ/mol of formula units



[12]
Ca4Pm3DySe8 | GGA-PBE | optimized geometry

a = 8.300 Å, b = 8.424 Å, c = 8.300 Å
α = 119.52°, β = 120.00°, γ = 90.00°
Positions (direct):
Ca 0.500 0.000 0.000
Ca 0.500 0.000 0.500
Ca 0.000 0.000 0.000
Ca 0.000 0.000 0.500
Pm 0.500 0.500 0.000
Pm 0.500 0.500 0.500
Pm 0.000 0.500 0.500
Dy 0.000 0.500 0.000
Se 0.248 0.751 0.003
Se 0.248 0.751 0.495
Se 0.248 0.245 0.496
Se 0.756 0.751 0.003
Se 0.244 0.249 0.997
Se 0.752 0.755 0.504
Se 0.752 0.249 0.505
Se 0.752 0.249 0.997

**Space group**: R-3m (166)
**ρ**: 5582 kg/m3
**V**: 413.3 Å³/f.u.
**Formation energy without anion corrections**: -2928 kJ/mol of formula units



Question: Among the records above, which one has the highest V?
Answer: CaPm4DySe8